[1]
Material: TcAs2PBr
Method: DFT, PBE-GGA
State: relaxed

Computed properties:
Formation energy from raw total energies: 808 meV/atom
DOS(E_F): 3.44 states/eV/f.u.
Energy relative to the lowest polymorph listed for this composition: 0.0 meV per atom
Calculated density: 5.0 g/cm3

Lattice parameters (Å, degrees): 4.7375 4.7375 5.2785 90.00 90.00 90.00
With the nearest neighbours (Å) after each atom.
Space group P4/mmm (No. 123)
Inequivalent atoms, fractional coordinates:
Tc: 0.0000 0.0000 0.0000  4 As 2.37, 2 Br 2.64
As: 0.0000 0.5000 0.0000  2 Tc 2.37
P: 0.5000 0.5000 0.5000  4 Br 3.35, 8 As 3.55
Br: 0.0000 0.0000 0.5000  2 Tc 2.64

***

[2]
Material: TiAsPBr2
Method: DFT, PBE-GGA
State: relaxed

Computed properties:
Formation energy from raw total energies: 656 meV/atom
DOS(E_F): 7.62 states/eV/f.u.
Energy relative to the lowest polymorph listed for this composition: 448.6 meV per atom
Calculated density: 4.3 g/cm3

Lattice parameters (Å, degrees): 4.8883 4.8883 5.0767 90.00 90.00 90.00
With the nearest neighbours (Å) after each atom.
Space group P4/mmm (No. 123)
Inequivalent atoms, fractional coordinates:
Ti: 0.0000 0.0000 0.0000  4 As 3.46, 8 Br 3.52
As: 0.5000 0.5000 0.0000  2 P 2.54
P: 0.5000 0.5000 0.5000  4 Br 2.44, 2 As 2.54
Br: 0.0000 0.5000 0.5000  2 P 2.44

***

[3]
Material: TiAsPBr2
Method: DFT, PBE-GGA
State: relaxed

Computed properties:
Formation energy from raw total energies: 208 meV/atom
DOS(E_F): 1.69 states/eV/f.u.
Energy relative to the lowest polymorph listed for this composition: 0.0 meV per atom
Calculated density: 4.0 g/cm3

Lattice parameters (Å, degrees): 4.9035 4.9035 5.4033 90.00 90.00 90.00
With the nearest neighbours (Å) after each atom.
Space group P4/mmm (No. 123)
Inequivalent atoms, fractional coordinates:
Ti: 0.0000 0.0000 0.0000  4 Br 2.45, 2 As 2.70
As: 0.0000 0.0000 0.5000  2 Ti 2.70
P: 0.5000 0.5000 0.5000  4 As 3.47, 8 Br 3.65
Br: 0.0000 0.5000 0.0000  2 Ti 2.45

***

[4]
Material: TiAs2PBr
Method: DFT, PBE-GGA
State: relaxed

Computed properties:
Formation energy from raw total energies: 454 meV/atom
DOS(E_F): 3.60 states/eV/f.u.
Energy relative to the lowest polymorph listed for this composition: 0.0 meV per atom
Calculated density: 4.2 g/cm3

Lattice parameters (Å, degrees): 5.0256 5.0256 4.7910 90.00 90.00 90.00
With the nearest neighbours (Å) after each atom.
Space group P4/mmm (No. 123)
Inequivalent atoms, fractional coordinates:
Ti: 0.0000 0.0000 0.0000  2 Br 2.40, 4 As 2.51
As: 0.0000 0.5000 0.0000  2 Ti 2.51
P: 0.5000 0.5000 0.5000  8 As 3.47, 4 Br 3.55
Br: 0.0000 0.0000 0.5000  2 Ti 2.40

***

Repeat the third record exactly.
Material: TiAsPBr2
Method: DFT, PBE-GGA
State: relaxed

Computed properties:
Formation energy from raw total energies: 208 meV/atom
DOS(E_F): 1.69 states/eV/f.u.
Energy relative to the lowest polymorph listed for this composition: 0.0 meV per atom
Calculated density: 4.0 g/cm3

Lattice parameters (Å, degrees): 4.9035 4.9035 5.4033 90.00 90.00 90.00
With the nearest neighbours (Å) after each atom.
Space group P4/mmm (No. 123)
Inequivalent atoms, fractional coordinates:
Ti: 0.0000 0.0000 0.0000  4 Br 2.45, 2 As 2.70
As: 0.0000 0.0000 0.5000  2 Ti 2.70
P: 0.5000 0.5000 0.5000  4 As 3.47, 8 Br 3.65
Br: 0.0000 0.5000 0.0000  2 Ti 2.45

***

- Which of these has the lowest calculated density?
  number 3